The following is a GGA+U calculation of a relaxed VPbO3 crystal, from the Alexandria database.

a = 3.8310 Å, b = 3.8310 Å, c = 4.9672 Å
α = 90.00°, β = 90.00°, γ = 90.00°
Element x y z (fractional)
1 V 0.0000 0.0000 0.0000
2 Pb 0.5000 0.5000 0.4241
3 O 0.0000 0.0000 0.6602
4 O 0.0000 0.5000 0.1260
5 O 0.5000 0.0000 0.1260

Calculated values
Crystal system   tetragonal
Final energy   -6.889 eV/atom


The following is a GGA+U calculation of a relaxed Rb2MnHgO4 crystal, from the Alexandria database.

a = 12.2030 Å, b = 11.2983 Å, c = 6.6915 Å
α = 81.05°, β = 66.15°, γ = 32.80°
Element x y z (fractional)
1 Rb 0.0663 0.0663 0.6837
2 Rb 0.3163 0.3163 0.9337
3 Rb 0.6837 0.6837 0.0663
4 Rb 0.9337 0.9337 0.3163
5 Mn 0.3750 0.3750 0.3750
6 Mn 0.6250 0.6250 0.6250
7 Hg 0.1250 0.1250 0.1250
8 Hg 0.8750 0.8750 0.8750
9 O 0.1012 0.5631 0.4774
10 O 0.3583 0.4774 0.5631
11 O 0.4369 0.8988 0.6417
12 O 0.4774 0.3583 0.1012
13 O 0.5226 0.6417 0.8988
14 O 0.5631 0.1012 0.3583
15 O 0.6417 0.5226 0.4369
16 O 0.8988 0.4369 0.5226

Calculated values
Crystal system   orthorhombic
Final energy   -4.630 eV/atom


> Among the records above, which one has the highest final energy?

Rb2MnHgO4


> The highest final energy belongs to which entry?

Rb2MnHgO4